(1)
DFT (PBE-GGA) results for an optimized crystal structure of ScSiSe2.

* formation energy from raw total energies: -0.599 eV per atom
* electronic total energy: -21.12 eV for the cell shown
* V: 92 Å³ per cell
* magnetic moment: 0.00 μB per atom

abc: 3.4853 3.4853 7.5669
angles: 90.00 90.00 90.00
Last column: nearest neighbours and their distance in Å.
Fractional coordinates of all 4 atoms:
Sc: 0.5000 0.5000 0.7508  5 Se 2.75-2.93
Se: 0.0000 0.0000 0.9115  4 Sc 2.75
Se: 0.5000 0.5000 0.3640  4 Si 2.60
Si: 0.0000 0.0000 0.4736  4 Se 2.60

---

(2)
DFT (PBE-GGA) results for an optimized crystal structure of ScSi2Se4.

* formation energy from raw total energies: -0.338 eV per atom
* electronic total energy: -33.48 eV for the cell shown
* V: 182 Å³ per cell
* magnetic moment: 0.00 μB per atom

abc: 6.1945 6.1945 6.1945
angles: 106.60 106.60 115.38
Last column: nearest neighbours and their distance in Å.
Fractional coordinates of all 7 atoms:
Sc: 0.5000 0.5000 0.0000  4 Se 2.68
Si: 0.2500 0.7500 0.5000  4 Se 2.51
Si: 0.7500 0.2500 0.5000  4 Se 2.51
Se: 0.3237 0.1835 0.5072  2 Si 2.51, 1 Sc 2.68
Se: 0.8165 0.3237 0.1401  2 Si 2.51, 1 Sc 2.68
Se: 0.1835 0.6763 0.8599  2 Si 2.51, 1 Sc 2.68
Se: 0.6763 0.8165 0.4928  2 Si 2.51, 1 Sc 2.68

---

(3)
DFT (PBE-GGA) results for an optimized crystal structure of ScSiSe.

* formation energy from raw total energies: -0.620 eV per atom
* electronic total energy: -17.10 eV for the cell shown
* V: 59 Å³ per cell
* magnetic moment: 0.00 μB per atom

abc: 5.3667 5.3666 3.5353
angles: 70.77 70.77 38.46
Last column: nearest neighbours and their distance in Å.
Fractional coordinates of all 3 atoms:
Sc: 0.0056 0.0056 0.9944  4 Se 2.77, 4 Si 2.84
Se: 0.6316 0.6316 0.3684  1 Si 2.55, 4 Sc 2.77
Si: 0.3628 0.3628 0.6372  1 Se 2.55, 4 Sc 2.84

---

(4)
DFT (PBE-GGA) results for an optimized crystal structure of ScSiSe2.

* formation energy from raw total energies: -0.434 eV per atom
* electronic total energy: -40.92 eV for the cell shown
* V: 222 Å³ per cell
* magnetic moment: 0.00 μB per atom

abc: 5.8894 5.8894 7.6452
angles: 67.35 67.35 90.00
Last column: nearest neighbours and their distance in Å.
Fractional coordinates of all 8 atoms:
Sc: 0.0000 0.0000 0.0000  4 Se 2.63
Sc: 0.7500 0.2500 0.5000  4 Se 2.63
Si: 0.5000 0.5000 0.0000  4 Se 2.62
Si: 0.2500 0.7500 0.5000  4 Se 2.62
Se: 0.6229 0.1250 0.2500  2 Si 2.62, 2 Sc 2.63
Se: 0.1271 0.6250 0.2500  2 Si 2.62, 2 Sc 2.63
Se: 0.3750 0.3771 0.7500  2 Si 2.62, 2 Sc 2.63
Se: 0.8750 0.8729 0.7500  2 Si 2.62, 2 Sc 2.63

---

(5)
DFT (PBE-GGA) results for an optimized crystal structure of ScSiSe2.

* formation energy from raw total energies: 0.014 eV per atom
* electronic total energy: -18.67 eV for the cell shown
* V: 80 Å³ per cell
* magnetic moment: 0.14 μB per atom

abc: 4.8356 4.8356 4.8356
angles: 60.00 60.00 60.00
Last column: nearest neighbours and their distance in Å.
Fractional coordinates of all 4 atoms:
Sc: 0.5000 0.5000 0.5000  4 Si 2.96, 4 Se 2.96
Se: 0.0000 0.0000 0.0000  4 Si 2.96, 4 Se 2.96
Se: 0.2500 0.2500 0.2500  4 Sc 2.96, 4 Se 2.96
Si: 0.7500 0.7500 0.7500  4 Se 2.96, 4 Sc 2.96

---

(6)
DFT (PBE-GGA) results for an optimized crystal structure of ScSiSe2.

* formation energy from raw total energies: -0.646 eV per atom
* electronic total energy: -21.31 eV for the cell shown
* V: 101 Å³ per cell
* magnetic moment: 0.00 μB per atom

abc: 8.5456 8.5456 8.5456
angles: 25.38 25.38 25.38
Last column: nearest neighbours and their distance in Å.
Fractional coordinates of all 4 atoms:
Sc: 0.5000 0.5000 0.5000  6 Se 2.68
Si: 0.0000 0.0000 0.0000  2 Se 2.56
Se: 0.8967 0.8967 0.8967  1 Si 2.56, 3 Sc 2.68
Se: 0.1033 0.1033 0.1033  1 Si 2.56, 3 Sc 2.68